# Pm4Nd6Sm

A relaxed Pm4Nd6Sm crystal (PBE, Alexandria via LeMat-Bulk).

a = 9.9713 Å, b = 9.9713 Å, c = 9.9713 Å
α = 140.72°, β = 140.72°, γ = 56.76°
Positions (direct):
Pm 0.0113 0.6335 0.0000
Pm 0.3665 0.3665 0.3778
Pm 0.6335 0.0113 0.0000
Pm 0.9887 0.9887 0.6222
Nd 0.0000 0.5000 0.5000
Nd 0.1923 0.1923 0.6433
Nd 0.4511 0.8077 0.0000
Nd 0.5000 0.0000 0.5000
Nd 0.5489 0.5489 0.3567
Nd 0.8077 0.4511 0.0000
Sm 0.0000 0.0000 0.0000

Space-group type: I-42m
Crystal system: tetragonal
Spin magnetization in μB per formula unit: 0.0
Energy above the most stable polymorph in this dataset in eV per formula unit: 0.000
DFT formation energy in meV per atom: 281


# SiGeTeI2

A relaxed SiGeTeI2 crystal (PBE, Alexandria via LeMat-Bulk).

a = 5.5747 Å, b = 5.5747 Å, c = 5.6416 Å
α = 90.00°, β = 90.00°, γ = 90.00°
Positions (direct):
Si 0.0000 0.0000 0.0000
Ge 0.5000 0.5000 0.5000
Te 0.5000 0.5000 0.0000
I 0.0000 0.5000 0.5000
I 0.5000 0.0000 0.5000

Space-group type: P4/mmm
Crystal system: tetragonal
Spin magnetization in μB per formula unit: 0.3
Energy above the most stable polymorph in this dataset in eV per formula unit: 0.857
Raw formation energy in meV per atom: 638


# Zn4NiIr

A relaxed Zn4NiIr crystal (PBE, Alexandria via LeMat-Bulk).

a = 4.8645 Å, b = 4.8645 Å, c = 4.8645 Å
α = 60.00°, β = 60.00°, γ = 60.00°
Positions (direct):
Zn 0.1251 0.1251 0.1251
Zn 0.1251 0.1251 0.6248
Zn 0.1251 0.6248 0.1251
Zn 0.6248 0.1251 0.1251
Ni 0.5000 0.5000 0.5000
Ir 0.7500 0.7500 0.7500

Space-group type: F-43m
Crystal system: cubic
Spin magnetization in μB per formula unit: 0.0
Energy above the most stable polymorph in this dataset in eV per formula unit: 0.505
DFT formation energy in meV per atom: 42


# Pm12TlGa5

A relaxed Pm12TlGa5 crystal (PBE, Alexandria via LeMat-Bulk).

a = 8.8522 Å, b = 8.8522 Å, c = 8.8522 Å
α = 112.09°, β = 111.65°, γ = 104.78°
Positions (direct):
Pm 0.0372 0.2343 0.8029
Pm 0.1787 0.2748 0.4535
Pm 0.1787 0.7252 0.9040
Pm 0.3217 0.0264 0.7046
Pm 0.3217 0.6171 0.2954
Pm 0.4315 0.2343 0.1971
Pm 0.5685 0.7657 0.8029
Pm 0.6783 0.3829 0.7046
Pm 0.6783 0.9736 0.2954
Pm 0.8213 0.2748 0.0960
Pm 0.8213 0.7252 0.5465
Pm 0.9628 0.7657 0.1971
Tl 0.5000 0.5000 0.0000
Ga 0.0000 0.0000 0.0000
Ga 0.1201 0.6201 0.5000
Ga 0.3578 0.0000 0.3578
Ga 0.6422 0.0000 0.6422
Ga 0.8799 0.3799 0.5000

Space-group type: Immm
Crystal system: orthorhombic
Spin magnetization in μB per formula unit: 0.0
DFT formation energy in meV per atom: -386